First-principles (PBE) data for TbPr6Tl6 after structural relaxation, as listed in Alexandria.

POSCAR file:
```
TbPr6Tl6
1.0
6.5615 0.0000 0.0000
-3.2807 5.6824 0.0000
0.0000 0.0000 11.0872
Tb Pr Tl
1 6 6
Direct
0.0000 0.0000 0.0000 Tb
0.0000 0.0000 0.3311 Pr
0.0000 0.0000 0.6689 Pr
0.3333 0.6667 0.0000 Pr
0.3333 0.6667 0.5000 Pr
0.6667 0.3333 0.0000 Pr
0.6667 0.3333 0.5000 Pr
0.0000 0.5000 0.2466 Tl
0.0000 0.5000 0.7534 Tl
0.5000 0.0000 0.2466 Tl
0.5000 0.0000 0.7534 Tl
0.5000 0.5000 0.2466 Tl
0.5000 0.5000 0.7534 Tl
```

Values from the calculation:
- V (Å³ per atom) = 31.8

***

First-principles (PBE) data for TbPr6Tl2 after structural relaxation, as listed in Alexandria.

POSCAR file:
```
TbPr6Tl2
1.0
6.6474 -1.9323 0.0000
6.6474 1.9323 0.0000
-3.8034 0.0000 11.7067
Tb Pr Tl
1 6 2
Direct
0.0000 0.0000 0.0000 Tb
0.0173 0.0173 0.3428 Pr
0.3058 0.3058 0.4075 Pr
0.3179 0.3179 0.1237 Pr
0.6821 0.6821 0.8763 Pr
0.6942 0.6942 0.5925 Pr
0.9827 0.9827 0.6572 Pr
0.3636 0.3636 0.8055 Tl
0.6364 0.6364 0.1945 Tl
```

Values from the calculation:
- ΔE to the lowest computed polymorph (kJ per mole of atoms) = 0.0
- V (Å³ per atom) = 33.4

***

First-principles (PBE) data for Tb6Pr3Tl after structural relaxation, as listed in Alexandria.

POSCAR file:
```
Tb6Pr3Tl
1.0
12.2228 0.0000 0.0000
0.0000 3.6135 0.0000
-0.8493 0.0000 14.9059
Tb Pr Tl
12 6 2
Direct
0.0698 0.2500 0.3921 Tb
0.1199 0.7500 0.9545 Tb
0.1876 0.2500 0.7450 Tb
0.2991 0.7500 0.3074 Tb
0.3075 0.2500 0.1043 Tb
0.3821 0.2500 0.4926 Tb
0.6179 0.7500 0.5074 Tb
0.6925 0.7500 0.8957 Tb
0.7009 0.2500 0.6926 Tb
0.8124 0.7500 0.2550 Tb
0.8801 0.2500 0.0455 Tb
0.9302 0.7500 0.6079 Tb
0.0756 0.7500 0.1803 Pr
0.4001 0.7500 0.9108 Pr
0.4416 0.7500 0.6910 Pr
0.5584 0.2500 0.3090 Pr
0.5999 0.2500 0.0892 Pr
0.9244 0.2500 0.8197 Pr
0.1821 0.7500 0.5596 Tl
0.8179 0.2500 0.4404 Tl
```

Values from the calculation:
- ΔE to the lowest computed polymorph (kJ per mole of atoms) = 0.0
- V (Å³ per atom) = 32.9

***

First-principles (PBE) data for Tb2Pr3Tl after structural relaxation, as listed in Alexandria.

POSCAR file:
```
Tb2Pr3Tl
1.0
8.7575 -3.4621 0.0000
8.7575 3.4621 0.0000
-1.0178 0.0000 6.5177
Tb Pr Tl
4 6 2
Direct
0.0523 0.2702 0.0724 Tb
0.2702 0.0523 0.5724 Tb
0.7298 0.9477 0.4276 Tb
0.9477 0.7298 0.9276 Tb
0.2141 0.4485 0.4547 Pr
0.2682 0.7318 0.2500 Pr
0.4485 0.2141 0.9547 Pr
0.5515 0.7859 0.0453 Pr
0.7318 0.2682 0.7500 Pr
0.7859 0.5515 0.5453 Pr
0.2208 0.7792 0.7500 Tl
0.7792 0.2208 0.2500 Tl
```

Values from the calculation:
- ΔE to the lowest computed polymorph (kJ per mole of atoms) = 3.5
- V (Å³ per atom) = 32.9

***

First-principles (PBE) data for Tb2Pr2Tl3 after structural relaxation, as listed in Alexandria.

POSCAR file:
```
Tb2Pr2Tl3
1.0
3.5908 0.0000 0.0000
0.0000 32.8065 0.0000
0.0000 0.0000 3.6115
Tb Pr Tl
4 4 6
Direct
0.0000 0.2026 0.0000 Tb
0.0000 0.7974 0.0000 Tb
0.5000 0.2974 0.0000 Tb
0.5000 0.7026 0.0000 Tb
0.0000 0.0697 0.0000 Pr
0.0000 0.9303 0.0000 Pr
0.5000 0.4303 0.0000 Pr
0.5000 0.5697 0.0000 Pr
0.0000 0.3602 0.5000 Tl
0.0000 0.5000 0.5000 Tl
0.0000 0.6398 0.5000 Tl
0.5000 0.0000 0.5000 Tl
0.5000 0.1398 0.5000 Tl
0.5000 0.8602 0.5000 Tl
```

Values from the calculation:
- ΔE to the lowest computed polymorph (kJ per mole of atoms) = 1.8
- V (Å³ per atom) = 30.4

***

First-principles (PBE) data for Tb3PrTl4 after structural relaxation, as listed in Alexandria.

POSCAR file:
```
Tb3PrTl4
1.0
10.9036 0.0000 0.0000
0.0000 7.6206 0.0000
0.0000 0.0000 5.4495
Tb Pr Tl
6 2 8
Direct
0.0000 0.0000 0.0000 Tb
0.2500 0.0000 0.4990 Tb
0.2500 0.5000 0.4990 Tb
0.5000 0.0000 0.0000 Tb
0.7500 0.0000 0.5010 Tb
0.7500 0.5000 0.5010 Tb
0.0000 0.5000 0.0000 Pr
0.5000 0.5000 0.0000 Pr
0.0000 0.2433 0.5000 Tl
0.0000 0.7567 0.5000 Tl
0.2500 0.2433 0.9988 Tl
0.2500 0.7567 0.9988 Tl
0.5000 0.2433 0.5000 Tl
0.5000 0.7567 0.5000 Tl
0.7500 0.2433 0.0012 Tl
0.7500 0.7567 0.0012 Tl
```

Values from the calculation:
- ΔE to the lowest computed polymorph (kJ per mole of atoms) = 0.0
- V (Å³ per atom) = 28.3

***

First-principles (PBE) data for Tb9Pr2Tl after structural relaxation, as listed in Alexandria.

POSCAR file:
```
Tb9Pr2Tl
1.0
4.9885 0.0000 0.0000
0.0000 4.9885 0.0000
0.0000 0.0000 15.2694
Tb Pr Tl
9 2 1
Direct
0.0000 0.0000 0.0000 Tb
0.0000 0.0000 0.3271 Tb
0.0000 0.0000 0.6729 Tb
0.0000 0.5000 0.1602 Tb
0.0000 0.5000 0.5000 Tb
0.0000 0.5000 0.8398 Tb
0.5000 0.0000 0.1602 Tb
0.5000 0.0000 0.5000 Tb
0.5000 0.0000 0.8398 Tb
0.5000 0.5000 0.3320 Pr
0.5000 0.5000 0.6680 Pr
0.5000 0.5000 0.0000 Tl
```

Values from the calculation:
- V (Å³ per atom) = 31.7

***

First-principles (PBE) data for Tb2PrTl2 after structural relaxation, as listed in Alexandria.

POSCAR file:
```
Tb2PrTl2
1.0
5.2227 0.0000 0.0000
-2.6114 4.5230 0.0000
0.0000 0.0000 12.9585
Tb Pr Tl
4 2 4
Direct
0.0000 0.0000 0.0000 Tb
0.0000 0.0000 0.5000 Tb
0.3333 0.6667 0.2500 Tb
0.6667 0.3333 0.7500 Tb
0.0000 0.0000 0.2500 Pr
0.0000 0.0000 0.7500 Pr
0.3333 0.6667 0.6253 Tl
0.3333 0.6667 0.8747 Tl
0.6667 0.3333 0.1253 Tl
0.6667 0.3333 0.3747 Tl
```

Values from the calculation:
- ΔE to the lowest computed polymorph (kJ per mole of atoms) = 29.6
- V (Å³ per atom) = 30.6

***

First-principles (PBE) data for Tb4Pr5Tl after structural relaxation, as listed in Alexandria.

POSCAR file:
```
Tb4Pr5Tl
1.0
4.2469 0.0000 0.0000
0.0000 4.2469 0.0000
0.0000 0.0000 18.3970
Tb Pr Tl
4 5 1
Direct
0.0000 0.0000 0.1023 Tb
0.0000 0.0000 0.3057 Tb
0.0000 0.0000 0.6943 Tb
0.0000 0.0000 0.8977 Tb
0.5000 0.5000 0.0000 Pr
0.5000 0.5000 0.2045 Pr
0.5000 0.5000 0.4093 Pr
0.5000 0.5000 0.5907 Pr
0.5000 0.5000 0.7955 Pr
0.0000 0.0000 0.5000 Tl
```

Values from the calculation:
- ΔE to the lowest computed polymorph (kJ per mole of atoms) = 0.0
- V (Å³ per atom) = 33.2

***

First-principles (PBE) data for TbPrTl6 after structural relaxation, as listed in Alexandria.

POSCAR file:
```
TbPrTl6
1.0
4.8172 0.0000 0.0000
0.0000 4.8172 0.0000
0.0000 0.0000 9.6224
Tb Pr Tl
1 1 6
Direct
0.0000 0.0000 0.0000 Tb
0.0000 0.0000 0.5000 Pr
0.0000 0.5000 0.2456 Tl
0.0000 0.5000 0.7544 Tl
0.5000 0.0000 0.2456 Tl
0.5000 0.0000 0.7544 Tl
0.5000 0.5000 0.0000 Tl
0.5000 0.5000 0.5000 Tl
```

Values from the calculation:
- V (Å³ per atom) = 27.9

***

First-principles (PBE) data for Tb3PrTl4 after structural relaxation, as listed in Alexandria.

POSCAR file:
```
Tb3PrTl4
1.0
3.5404 0.0000 0.0000
0.0000 7.3106 0.0000
0.0000 0.0000 18.7361
Tb Pr Tl
6 2 8
Direct
0.0000 0.0000 0.0000 Tb
0.0000 0.5000 0.2188 Tb
0.0000 0.5000 0.7812 Tb
0.5000 0.0000 0.2812 Tb
0.5000 0.0000 0.7188 Tb
0.5000 0.5000 0.5000 Tb
0.0000 0.0000 0.5000 Pr
0.5000 0.5000 0.0000 Pr
0.0000 0.2880 0.3711 Tl
0.0000 0.2880 0.6289 Tl
0.0000 0.7120 0.3711 Tl
0.0000 0.7120 0.6289 Tl
0.5000 0.2120 0.1289 Tl
0.5000 0.2120 0.8711 Tl
0.5000 0.7880 0.1289 Tl
0.5000 0.7880 0.8711 Tl
```

Values from the calculation:
- ΔE to the lowest computed polymorph (kJ per mole of atoms) = 13.1
- V (Å³ per atom) = 30.3

***

First-principles (PBE) data for Tb3Pr2Tl6 after structural relaxation, as listed in Alexandria.

POSCAR file:
```
Tb3Pr2Tl6
1.0
-3.0034 3.0034 11.3913
3.0034 -3.0034 11.3913
3.0034 3.0034 -11.3913
Tb Pr Tl
3 2 6
Direct
0.0000 0.0000 0.0000 Tb
0.1386 0.1386 0.0000 Tb
0.8614 0.8614 0.0000 Tb
0.4175 0.4175 0.0000 Pr
0.5825 0.5825 0.0000 Pr
0.0693 0.5693 0.5000 Tl
0.2760 0.2760 0.0000 Tl
0.4307 0.9307 0.5000 Tl
0.5693 0.0693 0.5000 Tl
0.7240 0.7240 0.0000 Tl
0.9307 0.4307 0.5000 Tl
```

Values from the calculation:
- V (Å³ per atom) = 37.4

***

First-principles (PBE) data for Tb4Pr2Tl5 after structural relaxation, as listed in Alexandria.

POSCAR file:
```
Tb4Pr2Tl5
1.0
0.0000 5.4299 10.1223
3.3578 0.0000 10.1223
3.3578 5.4299 0.0000
Tb Pr Tl
4 2 5
Direct
0.0358 0.7046 0.2954 Tb
0.2954 0.9642 0.0358 Tb
0.7046 0.0358 0.9642 Tb
0.9642 0.2954 0.7046 Tb
0.3320 0.3320 0.6680 Pr
0.6680 0.6680 0.3320 Pr
0.0000 0.0000 0.0000 Tl
0.0000 0.0000 0.5000 Tl
0.2500 0.2500 0.2500 Tl
0.5000 0.5000 0.0000 Tl
0.7500 0.7500 0.7500 Tl
```

Values from the calculation:
- V (Å³ per atom) = 33.6

***

First-principles (PBE) data for TbPrTl after structural relaxation, as listed in Alexandria.

POSCAR file:
```
TbPrTl
1.0
7.4953 0.0000 0.0000
0.0000 7.4953 0.0000
0.0000 0.0000 7.4953
Tb Pr Tl
4 4 4
Direct
0.0000 0.0000 0.0000 Tb
0.0000 0.5000 0.5000 Tb
0.5000 0.0000 0.5000 Tb
0.5000 0.5000 0.0000 Tb
0.0000 0.0000 0.5000 Pr
0.0000 0.5000 0.0000 Pr
0.5000 0.0000 0.0000 Pr
0.5000 0.5000 0.5000 Pr
0.2500 0.2500 0.7500 Tl
0.2500 0.7500 0.2500 Tl
0.7500 0.2500 0.2500 Tl
0.7500 0.7500 0.7500 Tl
```

Values from the calculation:
- ΔE to the lowest computed polymorph (kJ per mole of atoms) = 21.4
- V (Å³ per atom) = 35.1

***

First-principles (PBE) data for Tb4Pr3Tl2 after structural relaxation, as listed in Alexandria.

POSCAR file:
```
Tb4Pr3Tl2
1.0
6.5311 -6.8488 0.0000
6.5311 6.8488 0.0000
-0.6388 0.0000 6.5795
Tb Pr Tl
8 6 4
Direct
0.1081 0.6806 0.9134 Tb
0.1741 0.5240 0.4120 Tb
0.3194 0.8919 0.5866 Tb
0.4760 0.8259 0.0880 Tb
0.5240 0.1741 0.9120 Tb
0.6806 0.1081 0.4134 Tb
0.8259 0.4760 0.5880 Tb
0.8919 0.3194 0.0866 Tb
0.0463 0.1804 0.5949 Pr
0.1804 0.0463 0.0949 Pr
0.4685 0.5315 0.7500 Pr
0.5315 0.4685 0.2500 Pr
0.8196 0.9537 0.9051 Pr
0.9537 0.8196 0.4051 Pr
0.2184 0.3718 0.9649 Tl
0.3718 0.2184 0.4649 Tl
0.6282 0.7816 0.5351 Tl
0.7816 0.6282 0.0351 Tl
```

Values from the calculation:
- V (Å³ per atom) = 32.7

***

First-principles (PBE) data for Tb5PrTl2 after structural relaxation, as listed in Alexandria.

POSCAR file:
```
Tb5PrTl2
1.0
3.6799 0.0000 0.0000
0.0000 10.5511 0.0000
0.0000 0.0000 12.7639
Tb Pr Tl
10 2 4
Direct
0.0000 0.0000 0.0000 Tb
0.0000 0.2747 0.3648 Tb
0.0000 0.2747 0.6352 Tb
0.0000 0.7253 0.3648 Tb
0.0000 0.7253 0.6352 Tb
0.5000 0.2253 0.1352 Tb
0.5000 0.2253 0.8648 Tb
0.5000 0.5000 0.5000 Tb
0.5000 0.7747 0.1352 Tb
0.5000 0.7747 0.8648 Tb
0.0000 0.5000 0.0000 Pr
0.5000 0.0000 0.5000 Pr
0.0000 0.0000 0.2609 Tl
0.0000 0.0000 0.7391 Tl
0.5000 0.5000 0.2391 Tl
0.5000 0.5000 0.7609 Tl
```

Values from the calculation:
- V (Å³ per atom) = 31.0

***

First-principles (PBE) data for Tb4Pr15Tl after structural relaxation, as listed in Alexandria.

POSCAR file:
```
Tb4Pr15Tl
1.0
5.1502 0.0000 0.0000
0.0000 5.1502 0.0000
0.0000 0.0000 26.0410
Tb Pr Tl
4 15 1
Direct
0.0000 0.0000 0.1003 Tb
0.0000 0.0000 0.3018 Tb
0.0000 0.0000 0.6982 Tb
0.0000 0.0000 0.8997 Tb
0.0000 0.5000 0.0000 Pr
0.0000 0.5000 0.2012 Pr
0.0000 0.5000 0.4029 Pr
0.0000 0.5000 0.5971 Pr
0.0000 0.5000 0.7988 Pr
0.5000 0.0000 0.0000 Pr
0.5000 0.0000 0.2012 Pr
0.5000 0.0000 0.4029 Pr
0.5000 0.0000 0.5971 Pr
0.5000 0.0000 0.7988 Pr
0.5000 0.5000 0.1009 Pr
0.5000 0.5000 0.3023 Pr
0.5000 0.5000 0.5000 Pr
0.5000 0.5000 0.6977 Pr
0.5000 0.5000 0.8991 Pr
0.0000 0.0000 0.5000 Tl
```

Values from the calculation:
- V (Å³ per atom) = 34.5

***

First-principles (PBE) data for Tb5Pr3Tl after structural relaxation, as listed in Alexandria.

POSCAR file:
```
Tb5Pr3Tl
1.0
5.9815 -4.3172 0.0000
5.9815 4.3172 0.0000
-1.4272 0.0000 12.5764
Tb Pr Tl
10 6 2
Direct
0.0158 0.4064 0.8037 Tb
0.0443 0.0443 0.2545 Tb
0.1753 0.8247 0.0000 Tb
0.2490 0.2490 0.0502 Tb
0.4064 0.0158 0.8037 Tb
0.5936 0.9842 0.1963 Tb
0.7510 0.7510 0.9498 Tb
0.8247 0.1753 0.0000 Tb
0.9557 0.9557 0.7455 Tb
0.9842 0.5936 0.1963 Tb
0.1609 0.1609 0.5433 Pr
0.4525 0.4525 0.7462 Pr
0.5000 0.5000 0.0000 Pr
0.5000 0.5000 0.5000 Pr
0.5475 0.5475 0.2538 Pr
0.8391 0.8391 0.4567 Pr
0.2949 0.2949 0.3293 Tl
0.7051 0.7051 0.6707 Tl
```

Values from the calculation:
- V (Å³ per atom) = 36.1

***

First-principles (PBE) data for Tb2Pr5Tl4 after structural relaxation, as listed in Alexandria.

POSCAR file:
```
Tb2Pr5Tl4
1.0
12.4490 -1.7726 0.0000
12.4490 1.7726 0.0000
-0.4328 0.0000 8.1864
Tb Pr Tl
2 5 4
Direct
0.0899 0.0899 0.2175 Tb
0.9101 0.9101 0.7825 Tb
0.1407 0.1407 0.6248 Pr
0.2337 0.2337 0.2839 Pr
0.5000 0.5000 0.5000 Pr
0.7663 0.7663 0.7161 Pr
0.8593 0.8593 0.3752 Pr
0.0380 0.0380 0.8526 Tl
0.3357 0.3357 0.0272 Tl
0.6643 0.6643 0.9728 Tl
0.9620 0.9620 0.1474 Tl
```

Values from the calculation:
- V (Å³ per atom) = 32.8

***

First-principles (PBE) data for TbPr4Tl2 after structural relaxation, as listed in Alexandria.

POSCAR file:
```
TbPr4Tl2
1.0
2.8231 1.6299 9.0967
-2.8231 1.6299 9.0967
0.0000 -3.2599 9.0967
Tb Pr Tl
1 4 2
Direct
0.0000 0.0000 0.0000 Tb
0.2314 0.2314 0.2314 Pr
0.3696 0.3696 0.3696 Pr
0.6304 0.6304 0.6304 Pr
0.7686 0.7686 0.7686 Pr
0.1133 0.1133 0.1133 Tl
0.8867 0.8867 0.8867 Tl
```

Values from the calculation:
- ΔE to the lowest computed polymorph (kJ per mole of atoms) = 9.3
- V (Å³ per atom) = 35.9

***

First-principles (PBE) data for TbPrTl after structural relaxation, as listed in Alexandria.

POSCAR file:
```
TbPrTl
1.0
3.6975 0.0000 0.0000
0.0000 3.6975 0.0000
0.0000 0.0000 13.7208
Tb Pr Tl
2 2 2
Direct
0.0000 0.0000 0.0000 Tb
0.5000 0.5000 0.5000 Tb
0.0000 0.0000 0.3106 Pr
0.5000 0.5000 0.8106 Pr
0.0000 0.0000 0.6467 Tl
0.5000 0.5000 0.1467 Tl
```

Values from the calculation:
- ΔE to the lowest computed polymorph (kJ per mole of atoms) = 4.1
- V (Å³ per atom) = 31.3

***

Number 1: calculated formation energy -2.8 eV per formula unit. Number 2: calculated formation energy -1.4 eV per formula unit. Number 3: calculated formation energy 0.1 eV per formula unit. Number 4: calculated formation energy -0.4 eV per formula unit. Number 5: calculated formation energy -1.7 eV per formula unit. Number 6: calculated formation energy -2.9 eV per formula unit. Number 7: calculated formation energy -0.4 eV per formula unit. Number 8: calculated formation energy 0.1 eV per formula unit. Number 9: calculated formation energy 0.1 eV per formula unit. Number 10: calculated formation energy -2.3 eV per formula unit. Number 11: calculated formation energy -1.8 eV per formula unit. Number 12: calculated formation energy 1.5 eV per formula unit. Number 13: calculated formation energy -0.6 eV per formula unit. Number 14: calculated formation energy -0.1 eV per formula unit. Number 15: calculated formation energy -0.7 eV per formula unit. Number 16: calculated formation energy -1.0 eV per formula unit. Number 17: calculated formation energy -0.5 eV per formula unit. Number 18: calculated formation energy 2.5 eV per formula unit. Number 19: calculated formation energy -0.5 eV per formula unit. Number 20: calculated formation energy 0.1 eV per formula unit. Number 21: calculated formation energy -0.7 eV per formula unit.